Record 1
# TbPmHgOs, relaxed, DFT GGA-PBE
# Energy relative to the elements ... -0.20 eV/atom
data_TbPmHgOs
_chemical_formula_sum 'Tb4 Pm4 Hg4 Os4'
_cell_length_a 7.200
_cell_length_b 7.200
_cell_length_c 7.200
_cell_angle_alpha 90.00
_cell_angle_beta 90.00
_cell_angle_gamma 90.00
_symmetry_space_group_name_H-M 'F -4 3 m'
_symmetry_Int_Tables_number 216
_symmetry_space_group_name_Hall 'F -4 2 3'
loop_
_atom_site_label
_atom_site_fract_x
_atom_site_fract_y
_atom_site_fract_z
Tb1 0.000 0.000 0.000
Pm1 0.000 0.000 0.500
Hg1 0.250 0.250 0.750
Os1 0.250 0.250 0.250

***

Record 2
# RbTbAgSe3, relaxed, DFT GGA-PBE
# Formation energy from raw total energies ... -1122.0 meV per atom
data_RbTbAgSe3
_chemical_formula_sum 'Rb4 Tb4 Ag4 Se12'
_cell_length_a 4.169
_cell_length_b 15.945
_cell_length_c 10.808
_cell_angle_alpha 90.00
_cell_angle_beta 90.00
_cell_angle_gamma 90.00
_symmetry_space_group_name_H-M 'C m c m'
_symmetry_Int_Tables_number 63
_symmetry_space_group_name_Hall '-C 2c 2'
loop_
_atom_site_label
_atom_site_fract_x
_atom_site_fract_y
_atom_site_fract_z
Rb1 0.000 0.249 0.250
Tb1 0.000 0.000 0.000
Ag1 0.000 0.468 0.750
Se1 0.000 0.072 0.750
Se2 0.000 0.377 0.549

***

Record 3
# ScC2, relaxed, DFT GGA-PBE
# Energy relative to the elements ... 1.56 eV/atom
data_ScC2
_chemical_formula_sum 'Sc4 C8'
_cell_length_a 5.269
_cell_length_b 5.269
_cell_length_c 5.269
_cell_angle_alpha 90.00
_cell_angle_beta 90.00
_cell_angle_gamma 90.00
_symmetry_space_group_name_H-M 'F m -3 m'
_symmetry_Int_Tables_number 225
_symmetry_space_group_name_Hall '-F 4 2 3'
loop_
_atom_site_label
_atom_site_fract_x
_atom_site_fract_y
_atom_site_fract_z
Sc1 0.000 0.000 0.000
C1 0.250 0.250 0.250

***

Record 4
# Co2NiOs, relaxed, DFT GGA-PBE
# Energy relative to the elements ... 0.18 eV/atom
data_Co2NiOs
_chemical_formula_sum 'Co2 Ni1 Os1'
_cell_length_a 3.624
_cell_length_b 3.624
_cell_length_c 3.570
_cell_angle_alpha 90.00
_cell_angle_beta 90.00
_cell_angle_gamma 90.00
_symmetry_space_group_name_H-M 'P 4/m m m'
_symmetry_Int_Tables_number 123
_symmetry_space_group_name_Hall '-P 4 2'
loop_
_atom_site_label
_atom_site_fract_x
_atom_site_fract_y
_atom_site_fract_z
Co1 0.000 0.500 0.000
Ni1 0.000 0.000 0.500
Os1 0.500 0.500 0.500

***

Record 5
# AcSnBiRh, relaxed, DFT GGA-PBE
# Energy relative to the elements ... -0.23 eV/atom
data_AcSnBiRh
_chemical_formula_sum 'Ac4 Sn4 Bi4 Rh4'
_cell_length_a 7.557
_cell_length_b 7.557
_cell_length_c 7.557
_cell_angle_alpha 90.00
_cell_angle_beta 90.00
_cell_angle_gamma 90.00
_symmetry_space_group_name_H-M 'F -4 3 m'
_symmetry_Int_Tables_number 216
_symmetry_space_group_name_Hall 'F -4 2 3'
loop_
_atom_site_label
_atom_site_fract_x
_atom_site_fract_y
_atom_site_fract_z
Ac1 0.000 0.000 0.000
Sn1 0.250 0.250 0.750
Bi1 0.000 0.000 0.500
Rh1 0.250 0.250 0.250

***

Record 6
# RbBe2Co2, relaxed, DFT GGA-PBE
# Energy relative to the elements ... 0.72 eV/atom
data_RbBe2Co2
_chemical_formula_sum 'Rb2 Be4 Co4'
_cell_length_a 7.441
_cell_length_b 7.441
_cell_length_c 2.700
_cell_angle_alpha 90.00
_cell_angle_beta 90.00
_cell_angle_gamma 90.00
_symmetry_space_group_name_H-M 'P 4/m b m'
_symmetry_Int_Tables_number 127
_symmetry_space_group_name_Hall '-P 4 2ab'
loop_
_atom_site_label
_atom_site_fract_x
_atom_site_fract_y
_atom_site_fract_z
Rb1 0.000 0.000 0.000
Be1 0.112 0.388 0.500
Co1 0.126 0.626 0.000

***

Record 7
# Tl2In2Pb3, relaxed, DFT GGA-PBE
# Energy relative to the elements ... 0.01 eV/atom
data_Tl2In2Pb3
_chemical_formula_sum 'Tl4 In4 Pb6'
_cell_length_a 10.959
_cell_length_b 4.888
_cell_length_c 7.986
_cell_angle_alpha 90.00
_cell_angle_beta 98.90
_cell_angle_gamma 90.00
_symmetry_space_group_name_H-M 'C 1 2/m 1'
_symmetry_Int_Tables_number 12
loop_
_symmetry_equiv_pos_as_xyz
'x,y,z'
'-x,-y,-z'
'-x,y,-z'
'x,-y,z'
'x+1/2,y+1/2,z'
'-x+1/2,-y+1/2,-z'
'-x+1/2,y+1/2,-z'
'x+1/2,-y+1/2,z'
loop_
_atom_site_label
_atom_site_fract_x
_atom_site_fract_y
_atom_site_fract_z
Tl1 0.069 0.000 0.209
In1 0.145 0.500 0.932
Pb1 0.000 0.500 0.500
Pb2 0.215 0.000 0.650

***

Record 8
# VGaPd2, relaxed, DFT GGA-PBE
# Energy relative to the elements ... -0.36 eV/atom
data_VGaPd2
_chemical_formula_sum 'V1 Ga1 Pd2'
_cell_length_a 2.801
_cell_length_b 2.801
_cell_length_c 7.427
_cell_angle_alpha 90.00
_cell_angle_beta 90.00
_cell_angle_gamma 90.00
_symmetry_space_group_name_H-M 'P 4/m m m'
_symmetry_Int_Tables_number 123
_symmetry_space_group_name_Hall '-P 4 2'
loop_
_atom_site_label
_atom_site_fract_x
_atom_site_fract_y
_atom_site_fract_z
V1 0.000 0.000 0.000
Ga1 0.000 0.000 0.500
Pd1 0.500 0.500 0.253

***

| no. | D(E_F) (states/eV/f.u.) |
| --- | --- |
| 1 | 2.4 |
| 2 | 5.8 |
| 3 | 1.3 |
| 4 | 4.5 |
| 5 | 3.4 |
| 6 | 4.2 |
| 7 | 3.1 |
| 8 | 2.7 |